[1]
## Ca4ZnNi (PBE)

Data for Ca4ZnNi after structural relaxation.

Cell lengths 8.2816, 8.2816, 6.4518 Å; angles 106.58, 106.58, 111.50 degrees
Closest atoms and distances in Å follow each position.
Sites, in units of the cell vectors:
Ca  0.0554  0.7084  0.9139  2 Ni 3.01-3.04, 2 Zn 3.20-3.23
Ca  0.2258  0.3530  0.7078  2 Ni 2.94-2.98, 2 Zn 3.17-3.27
Ca  0.2916  0.9446  0.5861  2 Ni 3.01-3.04, 2 Zn 3.20-3.23
Ca  0.3530  0.2258  0.2078  2 Ni 2.94-2.98, 2 Zn 3.17-3.27
Ca  0.6470  0.7742  0.7922  2 Ni 2.94-2.98, 2 Zn 3.17-3.27
Ca  0.7084  0.0554  0.4139  2 Ni 3.01-3.04, 2 Zn 3.20-3.23
Ca  0.7742  0.6470  0.2922  2 Ni 2.94-2.98, 2 Zn 3.17-3.27
Ca  0.9446  0.2916  0.0861  2 Ni 3.01-3.04, 2 Zn 3.20-3.23
Zn  0.3658  0.6342  0.2500  8 Ca 3.17-3.27
Zn  0.6342  0.3658  0.7500  8 Ca 3.17-3.27
Ni  0.0013  0.9987  0.7500  8 Ca 2.94-3.04, 2 Ni 3.23
Ni  0.9987  0.0013  0.2500  8 Ca 2.94-3.04, 2 Ni 3.23

The value obtained for the density of states at the Fermi level is 0.746 states/eV per atom. Its energy of formation is -109 meV per atom. The value obtained for the size of the total moment is 0.0 Bohr magnetons per cell.

---

[2]
## CaZn3Ni2 (PBE)

Data for CaZn3Ni2 after structural relaxation.

Cell lengths 7.3180, 7.3180, 7.3180 Å; angles 47.33, 47.33, 47.33 degrees
Closest atoms and distances in Å follow each position.
Sites, in units of the cell vectors:
Ca  0.2206  0.2206  0.2206  3 Ni 2.77, 9 Zn 2.96-3.03
Ca  0.7794  0.7794  0.7794  3 Ni 2.77, 9 Zn 2.96-3.03
Zn  0.2574  0.7289  0.7289  3 Ni 2.48-2.57, 2 Zn 2.77
Zn  0.2711  0.2711  0.7426  3 Ni 2.48-2.57, 2 Zn 2.77
Zn  0.2711  0.7426  0.2711  3 Ni 2.48-2.57, 2 Zn 2.77
Zn  0.7289  0.2574  0.7289  3 Ni 2.48-2.57, 2 Zn 2.77
Zn  0.7289  0.7289  0.2574  3 Ni 2.48-2.57, 2 Zn 2.77
Zn  0.7426  0.2711  0.2711  3 Ni 2.48-2.57, 2 Zn 2.77
Ni  0.0000  0.0000  0.0000  6 Zn 2.57
Ni  0.0000  0.5000  0.5000  4 Zn 2.48, 2 Ca 2.77
Ni  0.5000  0.0000  0.5000  4 Zn 2.48, 2 Ca 2.77
Ni  0.5000  0.5000  0.0000  4 Zn 2.48, 2 Ca 2.77

The value obtained for the density of states at the Fermi level is 0.591 states/eV per atom. Its energy of formation is -18 meV per atom. The value obtained for the size of the total moment is 0.0 Bohr magnetons per cell.

---

[3]
## CaZn3Ni2 (PBE)

Data for CaZn3Ni2 after structural relaxation.

Cell lengths 5.2997, 5.2997, 3.9534 Å; angles 90.00, 90.00, 120.00 degrees
Closest atoms and distances in Å follow each position.
Sites, in units of the cell vectors:
Ca  0.0000  0.0000  0.0000  6 Ni 3.06, 12 Zn 3.31
Zn  0.0000  0.5000  0.5000  4 Ni 2.50, 4 Zn 2.65
Zn  0.5000  0.0000  0.5000  4 Ni 2.50, 4 Zn 2.65
Zn  0.5000  0.5000  0.5000  4 Ni 2.50, 4 Zn 2.65
Ni  0.3333  0.6667  0.0000  6 Zn 2.50
Ni  0.6667  0.3333  0.0000  6 Zn 2.50

The value obtained for the density of states at the Fermi level is 0.590 states/eV per atom. Its energy of formation is -291 meV per atom. The value obtained for the size of the total moment is 0.0 Bohr magnetons per cell.

---

[4]
## CaZnNi5 (PBE)

Data for CaZnNi5 after structural relaxation.

Cell lengths 7.8748, 4.8506, 10.0262 Å; angles 90.00, 90.00, 90.00 degrees
Closest atoms and distances in Å follow each position.
Sites, in units of the cell vectors:
Ca  0.2418  0.2500  0.0600  6 Ni 2.77-2.90
Ca  0.2582  0.7500  0.5600  6 Ni 2.77-2.90
Ca  0.7418  0.2500  0.4400  6 Ni 2.77-2.90
Ca  0.7582  0.7500  0.9400  6 Ni 2.77-2.90
Zn  0.1392  0.7500  0.8576  8 Ni 2.52-2.67
Zn  0.3608  0.2500  0.3576  8 Ni 2.52-2.67
Zn  0.6392  0.7500  0.6424  8 Ni 2.52-2.67
Zn  0.8608  0.2500  0.1424  8 Ni 2.52-2.67
Ni  0.0592  0.7500  0.1011  4 Ni 2.42-2.52, 1 Zn 2.52
Ni  0.0670  0.0039  0.3112  7 Ni 2.39-2.47, 2 Zn 2.63-2.64
Ni  0.0670  0.4961  0.3112  7 Ni 2.39-2.47, 2 Zn 2.63-2.64
Ni  0.0970  0.2500  0.5180  5 Ni 2.40-2.47, 1 Zn 2.63
Ni  0.1840  0.2500  0.7514  7 Ni 2.39-2.52, 2 Zn 2.67
Ni  0.3160  0.7500  0.2514  7 Ni 2.39-2.52, 2 Zn 2.67
Ni  0.4030  0.7500  0.0180  5 Ni 2.40-2.47, 1 Zn 2.63
Ni  0.4330  0.5039  0.8112  7 Ni 2.39-2.47, 2 Zn 2.63-2.64
Ni  0.4330  0.9961  0.8112  7 Ni 2.39-2.47, 2 Zn 2.63-2.64
Ni  0.4408  0.2500  0.6011  4 Ni 2.42-2.52, 1 Zn 2.52
Ni  0.5592  0.7500  0.3989  4 Ni 2.42-2.52, 1 Zn 2.52
Ni  0.5670  0.0039  0.1888  7 Ni 2.39-2.47, 2 Zn 2.63-2.64
Ni  0.5670  0.4961  0.1888  7 Ni 2.39-2.47, 2 Zn 2.63-2.64
Ni  0.5970  0.2500  0.9820  5 Ni 2.40-2.47, 1 Zn 2.63
Ni  0.6840  0.2500  0.7486  7 Ni 2.39-2.52, 2 Zn 2.67
Ni  0.8160  0.7500  0.2486  7 Ni 2.39-2.52, 2 Zn 2.67
Ni  0.9030  0.7500  0.4820  5 Ni 2.40-2.47, 1 Zn 2.63
Ni  0.9330  0.5039  0.6888  7 Ni 2.39-2.47, 2 Zn 2.63-2.64
Ni  0.9330  0.9961  0.6888  7 Ni 2.39-2.47, 2 Zn 2.63-2.64
Ni  0.9408  0.2500  0.8989  4 Ni 2.42-2.52, 1 Zn 2.52

The value obtained for the density of states at the Fermi level is 1.228 states/eV per atom. Its energy of formation is -128 meV per atom. The value obtained for the size of the total moment is 6.0 Bohr magnetons per cell.

---

[5]
## Ca2ZnNi16 (PBE)

Data for Ca2ZnNi16 after structural relaxation.

Cell lengths 6.2894, 6.2894, 6.2894 Å; angles 83.26, 83.26, 83.26 degrees
Closest atoms and distances in Å follow each position.
Sites, in units of the cell vectors:
Ca  0.0000  0.0000  0.0000  18 Ni 2.97-3.27, 1 Zn 3.01
Ca  0.3105  0.3105  0.3105  19 Ni 2.94-3.20
Zn  0.7513  0.7513  0.7513  7 Ni 2.39-2.59
Ni  0.1564  0.6516  0.6516  9 Ni 2.37-2.52, 1 Zn 2.57
Ni  0.3099  0.3099  0.8040  9 Ni 2.39-2.57
Ni  0.3099  0.8040  0.3099  9 Ni 2.39-2.57
Ni  0.3599  0.6534  0.9463  8 Ni 2.37-2.55
Ni  0.3599  0.9463  0.6534  8 Ni 2.37-2.55
Ni  0.5022  0.9982  0.9982  8 Ni 2.42-2.54, 1 Zn 2.59
Ni  0.5536  0.5536  0.5536  1 Zn 2.39, 6 Ni 2.52-2.57
Ni  0.6516  0.1564  0.6516  9 Ni 2.37-2.52, 1 Zn 2.57
Ni  0.6516  0.6516  0.1564  9 Ni 2.37-2.52, 1 Zn 2.57
Ni  0.6534  0.3599  0.9463  8 Ni 2.37-2.55
Ni  0.6534  0.9463  0.3599  8 Ni 2.37-2.55
Ni  0.8040  0.3099  0.3099  9 Ni 2.39-2.57
Ni  0.9463  0.3599  0.6534  8 Ni 2.37-2.55
Ni  0.9463  0.6534  0.3599  8 Ni 2.37-2.55
Ni  0.9982  0.5022  0.9982  8 Ni 2.42-2.54, 1 Zn 2.59
Ni  0.9982  0.9982  0.5022  8 Ni 2.42-2.54, 1 Zn 2.59

The value obtained for the density of states at the Fermi level is 1.343 states/eV per atom. Its energy of formation is -91 meV per atom. The value obtained for the size of the total moment is 7.2 Bohr magnetons per cell.

---

[6]
## CaZnNi3 (PBE)

Data for CaZnNi3 after structural relaxation.

Cell lengths 4.5269, 4.5269, 4.5269 Å; angles 90.00, 90.00, 90.00 degrees
Closest atoms and distances in Å follow each position.
Sites, in units of the cell vectors:
Ca  0.0000  0.0000  0.0000  6 Ni 2.26
Zn  0.5000  0.5000  0.5000  12 Ni 3.20
Ni  0.0000  0.0000  0.5000  2 Ca 2.26
Ni  0.0000  0.5000  0.0000  2 Ca 2.26
Ni  0.5000  0.0000  0.0000  2 Ca 2.26

The value obtained for the density of states at the Fermi level is 0.416 states/eV per atom. Its energy of formation is 1402 meV per atom. The value obtained for the size of the total moment is 0.0 Bohr magnetons per cell.

---

[7]
## CaZn2Ni5 (PBE)

Data for CaZn2Ni5 after structural relaxation.

Cell lengths 6.0975, 6.0975, 6.0975 Å; angles 145.22, 113.93, 76.88 degrees
Closest atoms and distances in Å follow each position.
Sites, in units of the cell vectors:
Ca  0.0000  0.0000  0.0000  4 Zn 3.01, 10 Ni 3.05-3.32
Zn  0.2510  0.7510  0.5000  7 Ni 2.38-2.46
Zn  0.7490  0.2490  0.5000  7 Ni 2.38-2.46
Ni  0.1854  0.3688  0.8166  3 Zn 2.40-2.46, 4 Ni 2.44-2.53
Ni  0.4478  0.6312  0.8166  3 Zn 2.40-2.46, 4 Ni 2.44-2.53
Ni  0.5000  0.0000  0.5000  2 Zn 2.38, 8 Ni 2.53
Ni  0.5522  0.3688  0.1834  3 Zn 2.40-2.46, 4 Ni 2.44-2.53
Ni  0.8146  0.6312  0.1834  3 Zn 2.40-2.46, 4 Ni 2.44-2.53

The value obtained for the density of states at the Fermi level is 1.253 states/eV per atom. Its energy of formation is -43 meV per atom. The value obtained for the size of the total moment is 0.6 Bohr magnetons per cell.

---

[8]
## CaZnNi2 (PBE)

Data for CaZnNi2 after structural relaxation.

Cell lengths 4.4718, 4.4718, 4.4718 Å; angles 60.00, 60.00, 60.00 degrees
Closest atoms and distances in Å follow each position.
Sites, in units of the cell vectors:
Ca  0.0000  0.0000  0.0000  4 Ni 2.74, 4 Zn 2.74
Zn  0.7500  0.7500  0.7500  4 Ni 2.74, 4 Ca 2.74
Ni  0.2500  0.2500  0.2500  4 Ca 2.74, 4 Ni 2.74
Ni  0.5000  0.5000  0.5000  4 Ni 2.74, 4 Zn 2.74

The value obtained for the density of states at the Fermi level is 0.993 states/eV per atom. Its energy of formation is 106 meV per atom. The value obtained for the size of the total moment is 0.0 Bohr magnetons per cell.

---

[9]
## CaZn12Ni6 (PBE)

Data for CaZn12Ni6 after structural relaxation.

Cell lengths 6.9186, 6.9186, 6.9186 Å; angles 104.93, 104.93, 104.93 degrees
Closest atoms and distances in Å follow each position.
Sites, in units of the cell vectors:
Ca  0.0000  0.0000  0.0000  6 Zn 3.11
Zn  0.1159  0.5000  0.8841  4 Ni 2.44-2.49, 3 Zn 2.54-2.64
Zn  0.1159  0.8841  0.5000  4 Ni 2.44-2.49, 3 Zn 2.54-2.64
Zn  0.1367  0.4024  0.4024  3 Ni 2.45-2.46, 2 Zn 2.64
Zn  0.4024  0.1367  0.4024  3 Ni 2.45-2.46, 2 Zn 2.64
Zn  0.4024  0.4024  0.1367  3 Ni 2.45-2.46, 2 Zn 2.64
Zn  0.5000  0.1159  0.8841  4 Ni 2.44-2.49, 3 Zn 2.54-2.64
Zn  0.5000  0.8841  0.1159  4 Ni 2.44-2.49, 3 Zn 2.54-2.64
Zn  0.5976  0.5976  0.8633  3 Ni 2.45-2.46, 2 Zn 2.64
Zn  0.5976  0.8633  0.5976  3 Ni 2.45-2.46, 2 Zn 2.64
Zn  0.8633  0.5976  0.5976  3 Ni 2.45-2.46, 2 Zn 2.64
Zn  0.8841  0.1159  0.5000  4 Ni 2.44-2.49, 3 Zn 2.54-2.64
Zn  0.8841  0.5000  0.1159  4 Ni 2.44-2.49, 3 Zn 2.54-2.64
Ni  0.2769  0.2769  0.6925  7 Zn 2.44-2.49
Ni  0.2769  0.6925  0.2769  7 Zn 2.44-2.49
Ni  0.3075  0.7231  0.7231  7 Zn 2.44-2.49
Ni  0.6925  0.2769  0.2769  7 Zn 2.44-2.49
Ni  0.7231  0.3075  0.7231  7 Zn 2.44-2.49
Ni  0.7231  0.7231  0.3075  7 Zn 2.44-2.49

The value obtained for the density of states at the Fermi level is 0.678 states/eV per atom. Its energy of formation is -80 meV per atom. The value obtained for the size of the total moment is 0.0 Bohr magnetons per cell.

---

[10]
## CaZn4Ni4 (PBE)

Data for CaZn4Ni4 after structural relaxation.

Cell lengths 6.1535, 6.1535, 6.1535 Å; angles 97.03, 97.03, 139.03 degrees
Closest atoms and distances in Å follow each position.
Sites, in units of the cell vectors:
Ca  0.0000  0.0000  0.0000  12 Zn 3.26-3.42, 4 Ni 3.30
Zn  0.2197  0.3345  0.5542  5 Ni 2.42-2.60, 2 Zn 2.60
Zn  0.3345  0.7803  0.1147  5 Ni 2.42-2.60, 2 Zn 2.60
Zn  0.6655  0.2197  0.8853  5 Ni 2.42-2.60, 2 Zn 2.60
Zn  0.7803  0.6655  0.4458  5 Ni 2.42-2.60, 2 Zn 2.60
Ni  0.0936  0.6059  0.6995  1 Ni 2.30, 4 Zn 2.42-2.44
Ni  0.3941  0.0936  0.4877  1 Ni 2.30, 4 Zn 2.42-2.44
Ni  0.6059  0.9064  0.5123  1 Ni 2.30, 4 Zn 2.42-2.44
Ni  0.9064  0.3941  0.3005  1 Ni 2.30, 4 Zn 2.42-2.44

The value obtained for the density of states at the Fermi level is 0.719 states/eV per atom. Its energy of formation is -167 meV per atom. The value obtained for the size of the total moment is 0.0 Bohr magnetons per cell.